1.
ScTlZn: single point on PBEsol structure, SCAN.

abc: 6.5413 6.5413 6.5413
angles: 90.00 90.00 90.00
Space group F-43m (No. 216)
Unique sites:
Sc 0.0000 0.0000 0.0000 [4 per cell]
Tl 0.2500 0.2500 0.7500 [4 per cell]
Zn 0.2500 0.2500 0.2500 [4 per cell]

## Properties
DOS at the Fermi energy, states/eV per atom: 0.803
E_form, eV per atom: 0.05

---

2.
YMgFe: single point on PBEsol structure, SCAN.

abc: 4.6524 4.6524 3.2446
angles: 90.00 90.00 120.00
Space group P-6m2 (No. 187)
Unique sites:
Y 0.0000 0.0000 0.0000 [1 per cell]
Mg 0.6667 0.3333 0.5000 [1 per cell]
Fe 0.3333 0.6667 0.5000 [1 per cell]

## Properties
DOS at the Fermi energy, states/eV per atom: 1.346
E_form, eV per atom: 0.26

---

3.
ZrTlCo3: single point on PBEsol structure, SCAN.

abc: 4.5892 4.5892 4.5892
angles: 90.00 90.00 90.00
Space group Pm-3m (No. 221)
Unique sites:
Zr 0.0000 0.0000 0.0000 [1 per cell]
Tl 0.5000 0.5000 0.5000 [1 per cell]
Co 0.0000 0.5000 0.5000 [3 per cell]

## Properties
DOS at the Fermi energy, states/eV per atom: 0.833
E_form, eV per atom: 1.37

---

4.
LaTe2Mo: single point on PBEsol structure, SCAN.

abc: 3.3675 3.3675 31.0537
angles: 90.00 90.00 120.00
Space group R-3m (No. 166, hexagonal axes)
Unique sites:
La 0.0000 0.0000 0.0000 [3 per cell]
Te 0.0000 0.0000 0.4167 [6 per cell]
Mo 0.0000 0.0000 0.5000 [3 per cell]

## Properties
DOS at the Fermi energy, states/eV per atom: 0.954
Uncorrected formation energy, eV per atom: 0.334

---

5.
Y2Si2Bi: single point on PBEsol structure, SCAN.

abc: 7.4825 7.4825 4.0288
angles: 90.00 90.00 90.00
Space group P4/mbm (No. 127)
Unique sites:
Y 0.1794 0.3206 0.0000 [4 per cell]
Si 0.1105 0.6105 0.5000 [4 per cell]
Bi 0.0000 0.0000 0.5000 [2 per cell]

## Properties
DOS at the Fermi energy, states/eV per atom: 0.492
Uncorrected formation energy, eV per atom: -0.656

---

6.
Na2SrGe2: single point on PBEsol structure, SCAN.

abc: 4.4912 4.4912 13.0141
angles: 90.00 90.00 90.00
Space group I4/mmm (No. 139)
Unique sites:
Na 0.0000 0.5000 0.2500 [4 per cell]
Sr 0.0000 0.0000 0.0000 [2 per cell]
Ge 0.0000 0.0000 0.4091 [4 per cell]

## Properties
DOS at the Fermi energy, states/eV per atom: 0.224
E_form, eV per atom: -0.33

---

7.
CsGa3Tc: single point on PBEsol structure, SCAN.

abc: 4.9279 4.9279 4.9279
angles: 90.00 90.00 90.00
Space group Pm-3m (No. 221)
Unique sites:
Cs 0.0000 0.0000 0.0000 [1 per cell]
Ga 0.0000 0.5000 0.5000 [3 per cell]
Tc 0.5000 0.5000 0.5000 [1 per cell]

## Properties
DOS at the Fermi energy, states/eV per atom: 0.582
E_form, eV per atom: -0.14

---

8.
NiPSe2: single point on PBEsol structure, SCAN.

abc: 3.3999 3.3999 13.9523
angles: 90.00 90.00 90.00
Space group I-4m2 (No. 119)
Unique sites:
Ni 0.0000 0.0000 0.0000 [2 per cell]
P 0.0000 0.5000 0.2500 [2 per cell]
Se 0.0000 0.0000 0.5000 [2 per cell]
Se 0.0000 0.5000 0.7500 [2 per cell]

## Properties
DOS at the Fermi energy, states/eV per atom: 1.024
Uncorrected formation energy, eV per atom: 0.476

---

Table of spin magnetization (Bohr magnetons per cell), in record order: 0.0; 2.3; 3.9; 6.4; 0.0; 0.0; 0.0; 0.0
Table of VASP energy (eV/cell), in record order: -399.8; -50.2; -148.1; -453.5; -315.2; -141.0; -122.6; -129.6